Record 1
This record from Alexandria describes a geometry-optimized HfNi2H2 structure. The functional is PBE.

Properties
Energy above the most stable polymorph in this dataset = 57 meV/atom
Space-group type = P4/mbm, No. 127

```
HfNi2H2
1.0
5.427 0.000 0.000
0.000 5.427 0.000
0.000 0.000 3.435
Hf Ni H
2 4 4
Cartesian
0.000 0.000 0.000
2.714 2.714 0.000
0.843 1.871 1.717
1.871 4.584 1.717
3.557 0.843 1.717
4.584 3.557 1.717
0.788 1.925 0.000
1.925 4.639 0.000
3.502 0.788 0.000
4.639 3.502 0.000
```

=====

Record 2
This record from Alexandria describes a geometry-optimized PrSm2Mg2 structure. The functional is PBE.

Properties
Energy above the most stable polymorph in this dataset = 119 meV/atom
ΔH_f (0 K) = 0.04 eV per atom
Space-group type = P4/mbm, No. 127

```
PrSm2Mg2
1.0
9.091 0.000 0.000
0.000 9.091 0.000
0.000 0.000 3.712
Pr Sm Mg
2 4 4
Cartesian
0.000 0.000 0.000
4.546 4.546 0.000
1.218 3.328 0.000
3.328 7.874 0.000
5.763 1.218 0.000
7.874 5.763 0.000
1.486 6.032 1.856
3.060 1.486 1.856
6.032 7.605 1.856
7.605 3.060 1.856
```

=====

Record 3
This record from Alexandria describes a geometry-optimized Sr2CdBr structure. The functional is PBE.

Properties
Formation energy (no corrections) = -0.8739 eV per atom
Energy above the most stable polymorph in this dataset = 0 meV/atom
Space-group type = P2/m, No. 10

```
Sr2CdBr
1.0
4.191 0.000 0.000
0.000 3.990 0.000
-0.012 0.000 8.979
Sr Cd Br
2 1 1
Cartesian
-0.002 0.000 2.000
4.181 0.000 6.979
2.095 1.995 0.000
-0.006 1.995 4.489
```

=====

Record 4
This record from Alexandria describes a geometry-optimized La2DyTl structure. The functional is PBE.

Properties
Energy above the most stable polymorph in this dataset = 29 meV/atom
ΔH_f (0 K) = -0.18 eV per atom
Space-group type = P2_1/m, No. 11

```
La2DyTl
1.0
6.916 0.000 0.000
0.000 5.408 0.000
-1.682 0.000 6.919
La Dy Tl
4 2 2
Cartesian
0.279 1.352 2.836
-0.467 1.352 6.365
5.701 4.056 0.555
4.955 4.056 4.084
2.318 4.056 1.567
2.916 1.352 5.352
1.362 4.056 4.970
3.872 1.352 1.949
```

=====

Record 5
This record from Alexandria describes a geometry-optimized Sr2Si4AgPt3 structure. The functional is PBE.

Properties
Formation energy (no corrections) = -0.7628 eV per atom
Space-group type = P-4m2, No. 115

```
Sr2Si4AgPt3
1.0
4.346 0.000 0.000
0.000 4.346 0.000
0.000 0.000 10.063
Sr Si Ag Pt
2 4 1 3
Cartesian
0.000 2.173 2.462
2.173 0.000 7.601
0.000 0.000 0.000
0.000 2.173 6.389
2.173 0.000 3.675
2.173 2.173 0.000
0.000 0.000 5.032
0.000 2.173 8.867
2.173 0.000 1.196
2.173 2.173 5.032
```

=====

Record 6
This record from Alexandria describes a geometry-optimized Tl2InCuSb2 structure. The functional is PBE.

Properties
Formation energy (no corrections) = 0.0284 eV per atom
Space-group type = Ibam, No. 72

```
Tl2InCuSb2
1.0
-2.949 8.934 3.222
2.949 -8.934 3.222
2.949 8.934 -3.222
Tl In Cu Sb
4 2 2 4
Cartesian
1.159 3.437 0.000
1.159 -3.437 3.222
1.791 12.371 0.000
1.791 5.498 3.222
0.000 0.000 1.611
0.000 0.000 4.833
2.949 0.000 1.611
0.000 8.934 1.611
4.107 1.834 0.000
1.158 7.101 0.000
1.791 1.834 3.222
-1.158 7.101 3.222
```

=====

Record 7
This record from Alexandria describes a geometry-optimized PuPdPt2 structure. The functional is PBE.

Properties
ΔH_f (0 K) = -0.50 eV per atom
Space-group type = Fm-3m, No. 225

```
PuPdPt2
1.0
0.000 3.325 3.325
3.325 0.000 3.325
3.325 3.325 0.000
Pu Pd Pt
1 1 2
Cartesian
0.000 0.000 0.000
3.325 3.325 3.325
1.662 1.662 1.662
4.987 4.987 4.987
```

=====

Record 8
This record from Alexandria describes a geometry-optimized NdPuCdCu structure. The functional is PBE.

Properties
ΔH_f (0 K) = 0.03 eV per atom
Space-group type = F-43m, No. 216

```
NdPuCdCu
1.0
0.000 3.703 3.703
3.703 0.000 3.703
3.703 3.703 0.000
Nd Pu Cd Cu
1 1 1 1
Cartesian
0.000 0.000 0.000
3.703 3.703 3.703
5.555 5.555 5.555
1.852 1.852 1.852
```

=====

Record 9
This record from Alexandria describes a geometry-optimized Pr12MgNi6 structure. The functional is PBE.

Properties
ΔH_f (0 K) = -0.20 eV per atom
Space-group type = Im-3, No. 204

```
Pr12MgNi6
1.0
-5.088 5.088 5.088
5.088 -5.088 5.088
5.088 5.088 -5.088
Pr Mg Ni
12 1 6
Cartesian
5.088 -1.949 3.194
3.139 1.894 0.000
7.036 1.894 0.000
3.194 5.088 -1.949
1.894 0.000 3.139
0.000 3.139 1.894
5.088 1.949 3.194
3.194 5.088 1.949
1.894 0.000 7.036
-1.949 3.194 5.088
1.949 3.194 5.088
0.000 7.036 1.894
0.000 0.000 0.000
5.088 0.000 1.224
5.088 3.864 0.000
1.224 5.088 0.000
3.864 0.000 5.088
0.000 1.224 5.088
0.000 5.088 3.864
```

=====

Record 10
This record from Alexandria describes a geometry-optimized RbLiY2Ir structure. The functional is PBE.

Properties
ΔH_f (0 K) = 1.57 eV per atom
Space-group type = P4/mmm, No. 123

```
RbLiY2Ir
1.0
5.472 0.000 0.000
0.000 5.472 0.000
0.000 0.000 4.877
Rb Li Y Ir
1 1 2 1
Cartesian
0.000 0.000 0.000
2.736 2.736 2.438
0.000 2.736 0.000
2.736 0.000 0.000
0.000 0.000 2.438
```

=====

Record 11
This record from Alexandria describes a geometry-optimized Ti4In2C structure. The functional is PBE.

Properties
Energy above the most stable polymorph in this dataset = 16 meV/atom
ΔH_f (0 K) = -0.31 eV per atom
Space-group type = I4/mmm, No. 139

```
Ti4In2C
1.0
-2.092 2.092 7.179
2.092 -2.092 7.179
2.092 2.092 -7.179
Ti In C
4 2 1
Cartesian
2.092 0.000 0.000
0.000 0.000 2.101
0.000 2.092 0.000
0.000 0.000 12.258
0.000 0.000 5.050
0.000 0.000 9.309
0.000 0.000 0.000
```

=====

Record 12
This record from Alexandria describes a geometry-optimized Ba2FeHg structure. The functional is PBE.

Properties
ΔH_f (0 K) = 0.27 eV per atom
Space-group type = P4mm, No. 99

```
Ba2FeHg
1.0
3.850 0.000 0.000
0.000 3.850 0.000
0.000 0.000 9.443
Ba Fe Hg
2 1 1
Cartesian
0.000 0.000 0.000
1.925 1.925 3.890
0.000 0.000 6.202
1.925 1.925 7.196
```